a:
A relaxed Ru3PbS crystal. Source: Alexandria, functional PBE-GGA.

Magnetization = 0.00 μB/f.u.

Lattice parameters (Å, degrees): 4.4287 4.4287 4.4287 90.00 90.00 90.00
Last column: nearest neighbours and their distance in Å.
Space group Pm-3m (No. 221)
One atom of each set of equivalent atoms:
Ru: 0.0000 0.0000 0.5000 [3 per cell]  2 S 2.21
Pb: 0.5000 0.5000 0.5000 [1 per cell]  12 Ru 3.13
S: 0.0000 0.0000 0.0000 [1 per cell]  6 Ru 2.21


b:
A relaxed Ru3PbS crystal. Source: Alexandria, functional PBE-GGA.

Magnetization = 6.01 μB/f.u.

Lattice parameters (Å, degrees): 5.0406 5.0406 5.0406 90.00 90.00 90.00
Last column: nearest neighbours and their distance in Å.
Space group Pm-3m (No. 221)
One atom of each set of equivalent atoms:
Ru: 0.0000 0.0000 0.5000 [3 per cell]  2 Pb 2.52
Pb: 0.0000 0.0000 0.0000 [1 per cell]  6 Ru 2.52
S: 0.5000 0.5000 0.5000 [1 per cell]  12 Ru 3.56


It is a that is most stable; the runner-up trails by 1890 meV/atom.


a:
A relaxed Te2RuPbS crystal. Source: Alexandria, functional PBE-GGA.

Magnetization = 2.33 μB/f.u.

Lattice parameters (Å, degrees): 5.1928 5.1928 5.3906 90.00 90.00 90.00
Last column: nearest neighbours and their distance in Å.
Space group P4/mmm (No. 123)
One atom of each set of equivalent atoms:
Te: 0.0000 0.5000 0.0000 [2 per cell]  2 S 2.60
Ru: 0.0000 0.0000 0.5000 [1 per cell]  4 Pb 3.67, 8 Te 3.74
Pb: 0.5000 0.5000 0.5000 [1 per cell]  2 S 2.70
S: 0.5000 0.5000 0.0000 [1 per cell]  4 Te 2.60, 2 Pb 2.70


b:
A relaxed Te2RuPbS crystal. Source: Alexandria, functional PBE-GGA.

Magnetization = 0.92 μB/f.u.

Lattice parameters (Å, degrees): 5.5752 5.5752 4.3341 90.00 90.00 90.00
Last column: nearest neighbours and their distance in Å.
Space group P4/mmm (No. 123)
One atom of each set of equivalent atoms:
Te: 0.0000 0.5000 0.0000 [2 per cell]  2 S 2.79
Ru: 0.0000 0.0000 0.5000 [1 per cell]  2 S 2.17
Pb: 0.5000 0.5000 0.5000 [1 per cell]  8 Te 3.53, 4 Ru 3.94
S: 0.0000 0.0000 0.0000 [1 per cell]  2 Ru 2.17


It is b that is most stable; the runner-up trails by 540 meV/atom.


a:
A relaxed Sb2TeRuPb crystal. Source: Alexandria, functional PBE-GGA.

Magnetization = 2.23 μB/f.u.

Lattice parameters (Å, degrees): 5.7343 5.7343 5.7190 90.00 90.00 90.00
Last column: nearest neighbours and their distance in Å.
Space group P4/mmm (No. 123)
One atom of each set of equivalent atoms:
Sb: 0.0000 0.5000 0.0000 [2 per cell]  2 Pb 2.87
Te: 0.0000 0.0000 0.5000 [1 per cell]  2 Pb 2.86
Ru: 0.5000 0.5000 0.5000 [1 per cell]  8 Sb 4.05, 4 Te 4.05
Pb: 0.0000 0.0000 0.0000 [1 per cell]  2 Te 2.86, 4 Sb 2.87


b:
A relaxed Sb2TeRuPb crystal. Source: Alexandria, functional PBE-GGA.

Magnetization = 0.00 μB/f.u.

Lattice parameters (Å, degrees): 5.0170 5.0170 5.8893 90.00 90.00 90.00
Last column: nearest neighbours and their distance in Å.
Space group P4/mmm (No. 123)
One atom of each set of equivalent atoms:
Sb: 0.0000 0.5000 0.0000 [2 per cell]  2 Ru 2.51
Te: 0.0000 0.0000 0.5000 [1 per cell]  2 Ru 2.94
Ru: 0.0000 0.0000 0.0000 [1 per cell]  4 Sb 2.51
Pb: 0.5000 0.5000 0.5000 [1 per cell]  4 Te 3.55, 8 Sb 3.87


It is b that is most stable; the runner-up trails by 1365 meV/atom.


a:
A relaxed Sc4RuPb crystal. Source: Alexandria, functional PBE-GGA.

Magnetization = 0.00 μB/f.u.

Lattice parameters (Å, degrees): 7.9965 7.9965 7.9965 90.00 90.00 90.00
Last column: nearest neighbours and their distance in Å.
Space group F-43m (No. 216)
One atom of each set of equivalent atoms:
Sc: 0.1232 0.1232 0.3768 [16 per cell]  6 Sc 2.79-2.87
Ru: 0.2500 0.2500 0.7500 [4 per cell]  12 Sc 3.31, 4 Pb 3.46
Pb: 0.0000 0.0000 0.0000 [4 per cell]  12 Sc 3.32, 4 Ru 3.46


b:
A relaxed Sc4RuPb crystal. Source: Alexandria, functional PBE-GGA.

Magnetization = 0.00 μB/f.u.

Lattice parameters (Å, degrees): 8.4342 12.5917 5.7743 90.00 112.86 90.00
Last column: nearest neighbours and their distance in Å.
Space group C2/c (No. 15)
One atom of each set of equivalent atoms:
Sc: 0.1097 0.1669 0.0633 [8 per cell]  2 Ru 2.68-2.70
Sc: 0.2245 0.4270 0.3504 [8 per cell]  2 Ru 2.72-2.76
Ru: 0.0000 0.0008 0.2500 [4 per cell]  8 Sc 2.68-2.76, 2 Ru 2.89
Pb: 0.0000 0.3702 0.7500 [4 per cell]  8 Sc 3.06-3.32


It is b that is most stable; the runner-up trails by 715 meV/atom.


a:
A relaxed TbScRuPb crystal. Source: Alexandria, functional PBE-GGA.

Magnetization = 0.00 μB/f.u.

Lattice parameters (Å, degrees): 3.3491 3.3491 8.0286 90.00 90.00 90.00
Last column: nearest neighbours and their distance in Å.
Space group P4mm (No. 99)
One atom of each set of equivalent atoms:
Tb: 0.0000 0.0000 0.0000 [1 per cell]  4 Ru 2.96, 1 Sc 3.22
Sc: 0.0000 0.0000 0.5993 [1 per cell]  4 Ru 2.77
Ru: 0.5000 0.5000 0.7780 [1 per cell]  4 Sc 2.77, 4 Tb 2.96
Pb: 0.5000 0.5000 0.3185 [1 per cell]  4 Sc 3.27, 4 Pb 3.35, 4 Tb 3.49


b:
A relaxed TbScRuPb crystal. Source: Alexandria, functional PBE-GGA.

Magnetization = 0.00 μB/f.u.

Lattice parameters (Å, degrees): 7.0645 7.0645 7.0645 90.00 90.00 90.00
Last column: nearest neighbours and their distance in Å.
Space group F-43m (No. 216)
One atom of each set of equivalent atoms:
Tb: 0.0000 0.0000 0.0000 [4 per cell]  4 Pb 3.06, 4 Ru 3.06
Sc: 0.0000 0.0000 0.5000 [4 per cell]  4 Ru 3.06, 4 Pb 3.06
Ru: 0.2500 0.2500 0.7500 [4 per cell]  4 Tb 3.06, 4 Sc 3.06
Pb: 0.2500 0.2500 0.2500 [4 per cell]  4 Tb 3.06, 4 Sc 3.06


It is a that is most stable; the runner-up trails by 224 meV/atom.


a:
A relaxed RuPb3Se crystal. Source: Alexandria, functional PBE-GGA.

Magnetization = 0.00 μB/f.u.

Lattice parameters (Å, degrees): 5.2400 5.2400 5.2400 90.00 90.00 90.00
Last column: nearest neighbours and their distance in Å.
Space group Pm-3m (No. 221)
One atom of each set of equivalent atoms:
Ru: 0.0000 0.0000 0.0000 [1 per cell]  6 Pb 2.62
Pb: 0.0000 0.0000 0.5000 [3 per cell]  2 Ru 2.62
Se: 0.5000 0.5000 0.5000 [1 per cell]  12 Pb 3.71


b:
A relaxed RuPb3Se crystal. Source: Alexandria, functional PBE-GGA.

Magnetization = 2.17 μB/f.u.

Lattice parameters (Å, degrees): 5.6030 5.6030 5.6030 90.00 90.00 90.00
Last column: nearest neighbours and their distance in Å.
Space group Pm-3m (No. 221)
One atom of each set of equivalent atoms:
Ru: 0.0000 0.0000 0.0000 [1 per cell]  12 Pb 3.96
Pb: 0.0000 0.5000 0.5000 [3 per cell]  2 Se 2.80
Se: 0.5000 0.5000 0.5000 [1 per cell]  6 Pb 2.80


It is a that is most stable; the runner-up trails by 1046 meV/atom.


a:
A relaxed SiRu2Pb crystal. Source: Alexandria, functional PBE-GGA.

Magnetization = 1.37 μB/f.u.

Lattice parameters (Å, degrees): 6.4599 6.4599 6.4599 90.00 90.00 90.00
Last column: nearest neighbours and their distance in Å.
Space group F-43m (No. 216)
One atom of each set of equivalent atoms:
Si: 0.0000 0.0000 0.0000 [4 per cell]  4 Pb 2.80, 4 Ru 2.80
Ru: 0.0000 0.0000 0.5000 [4 per cell]  4 Pb 2.80, 4 Ru 2.80
Ru: 0.2500 0.2500 0.2500 [4 per cell]  4 Ru 2.80, 4 Si 2.80
Pb: 0.2500 0.2500 0.7500 [4 per cell]  4 Ru 2.80, 4 Si 2.80


b:
A relaxed SiRu2Pb crystal. Source: Alexandria, functional PBE-GGA.

Magnetization = 0.74 μB/f.u.

Lattice parameters (Å, degrees): 6.6504 3.8629 5.8871 90.00 112.08 90.00
Last column: nearest neighbours and their distance in Å.
Space group Cm (No. 8)
One atom of each set of equivalent atoms:
Si: 0.0000 0.0000 0.0000 [2 per cell]  6 Ru 2.39-2.46
Ru: 0.1121 0.5000 0.8374 [2 per cell]  3 Si 2.39-2.40
Ru: 0.3978 0.0000 0.1928 [2 per cell]  3 Si 2.46
Pb: 0.1729 0.0000 0.5238 [2 per cell]  6 Ru 2.80-2.87, 1 Si 2.86


c:
A relaxed SiRu2Pb crystal. Source: Alexandria, functional PBE-GGA.

Magnetization = 0.01 μB/f.u.

Lattice parameters (Å, degrees): 3.7583 3.7583 9.3092 90.00 90.00 90.00
Last column: nearest neighbours and their distance in Å.
Space group I-4m2 (No. 119)
One atom of each set of equivalent atoms:
Si: 0.0000 0.0000 0.0000 [2 per cell]  4 Ru 2.66
Ru: 0.0000 0.0000 0.5000 [2 per cell]  4 Si 2.66
Ru: 0.0000 0.5000 0.2500 [2 per cell]  4 Pb 2.66
Pb: 0.0000 0.5000 0.7500 [2 per cell]  4 Ru 2.66


It is b that is most stable; the runner-up trails by 415 meV/atom.


a:
A relaxed SiRuPb3 crystal. Source: Alexandria, functional PBE-GGA.

Magnetization = 1.91 μB/f.u.

Lattice parameters (Å, degrees): 5.3006 5.3006 5.3006 90.00 90.00 90.00
Last column: nearest neighbours and their distance in Å.
Space group Pm-3m (No. 221)
One atom of each set of equivalent atoms:
Si: 0.0000 0.0000 0.0000 [1 per cell]  6 Pb 2.65
Ru: 0.5000 0.5000 0.5000 [1 per cell]  12 Pb 3.75
Pb: 0.0000 0.0000 0.5000 [3 per cell]  2 Si 2.65


b:
A relaxed SiRuPb3 crystal. Source: Alexandria, functional PBE-GGA.

Magnetization = 0.70 μB/f.u.

Lattice parameters (Å, degrees): 5.2470 5.2470 5.2470 90.00 90.00 90.00
Last column: nearest neighbours and their distance in Å.
Space group Pm-3m (No. 221)
One atom of each set of equivalent atoms:
Si: 0.0000 0.0000 0.0000 [1 per cell]  12 Pb 3.71
Ru: 0.5000 0.5000 0.5000 [1 per cell]  6 Pb 2.62
Pb: 0.0000 0.5000 0.5000 [3 per cell]  2 Ru 2.62


It is b that is most stable; the runner-up trails by 594 meV/atom.


a:
A relaxed Sm3RuPb crystal. Source: Alexandria, functional PBE-GGA.

Magnetization = 0.00 μB/f.u.

Lattice parameters (Å, degrees): 11.9132 4.6710 10.2548 90.00 97.84 90.00
Last column: nearest neighbours and their distance in Å.
Space group C2/m (No. 12)
One atom of each set of equivalent atoms:
Sm: 0.1030 0.0000 0.3885 [4 per cell]  3 Ru 2.82
Sm: 0.1232 0.5000 0.6674 [4 per cell]  2 Ru 2.97, 2 Pb 3.32
Sm: 0.1435 0.5000 0.1148 [4 per cell]  1 Ru 2.83
Ru: 0.2351 0.5000 0.3841 [4 per cell]  6 Sm 2.82-2.97
Pb: 0.0817 0.0000 0.8866 [4 per cell]  1 Pb 3.23, 8 Sm 3.28-3.56


b:
A relaxed Sm3RuPb crystal. Source: Alexandria, functional PBE-GGA.

Magnetization = 0.00 μB/f.u.

Lattice parameters (Å, degrees): 5.3852 5.3852 5.3852 90.00 90.00 90.00
Last column: nearest neighbours and their distance in Å.
Space group Pm-3m (No. 221)
One atom of each set of equivalent atoms:
Sm: 0.0000 0.0000 0.5000 [3 per cell]  2 Ru 2.69
Ru: 0.0000 0.0000 0.0000 [1 per cell]  6 Sm 2.69
Pb: 0.5000 0.5000 0.5000 [1 per cell]  12 Sm 3.81


It is a that is most stable; the runner-up trails by 139 meV/atom.


a:
A relaxed Sn2Ru2Pb crystal. Source: Alexandria, functional PBE-GGA.

Magnetization = 0.00 μB/f.u.

Lattice parameters (Å, degrees): 4.1976 4.1976 12.0810 90.00 90.00 90.00
Last column: nearest neighbours and their distance in Å.
Space group I4/mmm (No. 139)
One atom of each set of equivalent atoms:
Sn: 0.0000 0.5000 0.2500 [4 per cell]  4 Ru 2.70, 4 Sn 2.97
Ru: 0.0000 0.0000 0.1088 [4 per cell]  1 Ru 2.63, 4 Sn 2.70
Pb: 0.0000 0.0000 0.5000 [2 per cell]  8 Ru 3.25


b:
A relaxed Sn2Ru2Pb crystal. Source: Alexandria, functional PBE-GGA.

Magnetization = 0.00 μB/f.u.

Lattice parameters (Å, degrees): 7.8768 7.8768 3.1635 90.00 90.00 90.00
Last column: nearest neighbours and their distance in Å.
Space group P4/mbm (No. 127)
One atom of each set of equivalent atoms:
Sn: 0.1463 0.3537 0.0000 [4 per cell]  6 Ru 2.80
Ru: 0.1467 0.6467 0.5000 [4 per cell]  6 Sn 2.80, 2 Pb 3.01
Pb: 0.0000 0.0000 0.5000 [2 per cell]  4 Ru 3.01, 2 Pb 3.16


It is b that is most stable; the runner-up trails by 158 meV/atom.


a:
A relaxed SrRuPb3 crystal. Source: Alexandria, functional PBE-GGA.

Magnetization = 2.08 μB/f.u.

Lattice parameters (Å, degrees): 5.9483 5.9483 5.9483 90.00 90.00 90.00
Last column: nearest neighbours and their distance in Å.
Space group Pm-3m (No. 221)
One atom of each set of equivalent atoms:
Sr: 0.0000 0.0000 0.0000 [1 per cell]  6 Pb 2.97
Ru: 0.5000 0.5000 0.5000 [1 per cell]  12 Pb 4.21
Pb: 0.0000 0.0000 0.5000 [3 per cell]  2 Sr 2.97


b:
A relaxed SrRuPb3 crystal. Source: Alexandria, functional PBE-GGA.

Magnetization = 0.00 μB/f.u.

Lattice parameters (Å, degrees): 5.3632 5.3632 5.3632 90.00 90.00 90.00
Last column: nearest neighbours and their distance in Å.
Space group Pm-3m (No. 221)
One atom of each set of equivalent atoms:
Sr: 0.0000 0.0000 0.0000 [1 per cell]  12 Pb 3.79
Ru: 0.5000 0.5000 0.5000 [1 per cell]  6 Pb 2.68
Pb: 0.0000 0.5000 0.5000 [3 per cell]  2 Ru 2.68


It is b that is most stable; the runner-up trails by 1581 meV/atom.


a:
A relaxed TaRuPb3 crystal. Source: Alexandria, functional PBE-GGA.

Magnetization = 2.81 μB/f.u.

Lattice parameters (Å, degrees): 5.2152 5.2152 5.2152 90.00 90.00 90.00
Last column: nearest neighbours and their distance in Å.
Space group Pm-3m (No. 221)
One atom of each set of equivalent atoms:
Ta: 0.0000 0.0000 0.0000 [1 per cell]  12 Pb 3.69
Ru: 0.5000 0.5000 0.5000 [1 per cell]  6 Pb 2.61
Pb: 0.0000 0.5000 0.5000 [3 per cell]  2 Ru 2.61


b:
A relaxed TaRuPb3 crystal. Source: Alexandria, functional PBE-GGA.

Magnetization = 3.09 μB/f.u.

Lattice parameters (Å, degrees): 5.4549 5.4549 5.4549 90.00 90.00 90.00
Last column: nearest neighbours and their distance in Å.
Space group Pm-3m (No. 221)
One atom of each set of equivalent atoms:
Ta: 0.0000 0.0000 0.0000 [1 per cell]  6 Pb 2.73
Ru: 0.5000 0.5000 0.5000 [1 per cell]  12 Pb 3.86
Pb: 0.0000 0.0000 0.5000 [3 per cell]  2 Ta 2.73


It is a that is most stable; the runner-up trails by 167 meV/atom.